Entry from the Alexandria database: a relaxed Nd9TmMg2 crystal (PBE).

The structure in CIF format:
```
data_Nd9TmMg2
_cell_length_a 5.0677
_cell_length_b 5.0677
_cell_length_c 15.2687
_cell_angle_alpha 90.00
_cell_angle_beta 90.00
_cell_angle_gamma 90.00
_space_group_name_H-M_alt 'P 4/m m m'
_space_group_IT_number 123
_space_group_name_Hall '-P 4 2'
loop_
_atom_site_label
_atom_site_fract_x
_atom_site_fract_y
_atom_site_fract_z
Nd1 0.0000 0.0000 0.0000
Nd2 0.0000 0.0000 0.3349
Nd3 0.0000 0.5000 0.1690
Nd4 0.0000 0.5000 0.5000
Tm1 0.5000 0.5000 0.0000
Mg1 0.5000 0.5000 0.3365
```

Entry from the Alexandria database: a relaxed Nd3TmMg2 crystal (PBE).

The structure in CIF format:
```
data_Nd3TmMg2
_cell_length_a 3.8119
_cell_length_b 3.8119
_cell_length_c 12.6172
_cell_angle_alpha 90.00
_cell_angle_beta 90.00
_cell_angle_gamma 90.00
_space_group_name_H-M_alt 'P 4/m m m'
_space_group_IT_number 123
_space_group_name_Hall '-P 4 2'
loop_
_atom_site_label
_atom_site_fract_x
_atom_site_fract_y
_atom_site_fract_z
Nd1 0.0000 0.0000 0.0000
Nd2 0.0000 0.0000 0.3131
Tm1 0.5000 0.5000 0.5000
Mg1 0.5000 0.5000 0.1566
```

The following formation energy values (in eV per atom) correspond, in order, to the records above: -0.0008; -0.0520.